Entry 1:
Entry from the Alexandria database: an optimized crystal structure of Nd2InAu6 (GGA-PBE).

Computed properties:
VASP energy	-37.2	eV/cell
formation enthalpy at 0 K	-5.27	eV/f.u.

Structure (POSCAR):
```
Nd2InAu6
1.0
5.6365 -3.2599 0.0000
5.6365 3.2599 0.0000
-0.0069 0.0000 5.5272
Nd In Au
2 1 6
Cartesian
1.8768 0.0000 1.8156
9.3893 0.0000 3.7116
5.6331 0.0000 2.7636
4.5812 1.8317 0.9857
3.5236 0.0000 4.5459
6.6850 1.8317 4.5415
4.5812 -1.8317 0.9857
7.7425 0.0000 0.9813
6.6850 -1.8317 4.5415
```

=====

Entry 2:
Entry from the Alexandria database: an optimized crystal structure of NdInAu6 (GGA-PBE).

Computed properties:
VASP energy	-29.8	eV/cell
excess energy over the best structure of this formula in the dataset	18	meV per atom
formation enthalpy at 0 K	-2.66	eV/f.u.

Structure (POSCAR):
```
NdInAu6
1.0
5.5035 0.0000 0.0000
0.0000 5.5035 0.0000
0.0000 0.0000 5.5035
Nd In Au
1 1 6
Cartesian
0.0000 0.0000 0.0000
2.7518 2.7518 2.7518
0.0000 1.3892 2.7518
0.0000 4.1143 2.7518
1.3892 2.7518 0.0000
2.7518 0.0000 1.3892
2.7518 0.0000 4.1143
4.1143 2.7518 0.0000
```

=====

Entry 3:
Entry from the Alexandria database: an optimized crystal structure of NdIn2Au (GGA-PBE).

Computed properties:
VASP energy	-15.5	eV/cell
formation enthalpy at 0 K	-1.99	eV/f.u.

Structure (POSCAR):
```
NdIn2Au
1.0
4.5798 0.0000 0.0000
0.0000 4.5798 0.0000
0.0000 0.0000 4.6758
Nd In Au
1 2 1
Cartesian
0.0000 0.0000 0.0000
0.0000 2.2899 2.3379
2.2899 0.0000 2.3379
2.2899 2.2899 0.0000
```

=====

Entry 4:
Entry from the Alexandria database: an optimized crystal structure of NdIn2Au (GGA-PBE).

Computed properties:
VASP energy	-13.4	eV/cell
formation enthalpy at 0 K	0.11	eV/f.u.

Structure (POSCAR):
```
NdIn2Au
1.0
1.7496 1.0101 10.6699
-1.7496 1.0101 10.6699
0.0000 -2.0202 10.6699
Nd In Au
1 2 1
Cartesian
0.0000 0.0000 0.0000
0.0000 0.0000 3.2442
0.0000 0.0000 28.7655
0.0000 0.0000 16.0048
```

=====

Entry 5:
Entry from the Alexandria database: an optimized crystal structure of Nd4In5Au2 (GGA-PBE).

Computed properties:
VASP energy	-45.5	eV/cell
formation enthalpy at 0 K	-6.14	eV/f.u.

Structure (POSCAR):
```
Nd4In5Au2
1.0
7.9247 0.0000 0.0000
0.0000 3.7022 0.0000
-0.7943 0.0000 10.1405
Nd In Au
4 5 2
Cartesian
1.0807 0.0000 3.7783
1.2228 0.0000 9.5609
5.9076 0.0000 0.5796
6.0497 0.0000 6.3622
0.9563 1.8511 6.6651
3.4169 1.8511 1.9661
3.5652 1.8511 5.0703
3.7135 1.8511 8.1744
6.1741 1.8511 3.4754
0.4219 1.8511 1.3924
6.7085 1.8511 8.7481
```

=====

Entry 6:
Entry from the Alexandria database: an optimized crystal structure of Nd11In9Au4 (GGA-PBE).

Computed properties:
VASP energy	-104.9	eV/cell
formation enthalpy at 0 K	-14.70	eV/f.u.

Structure (POSCAR):
```
Nd11In9Au4
1.0
7.5418 -11.3884 0.0000
7.5418 11.3884 0.0000
0.0000 0.0000 3.8654
Nd In Au
11 9 4
Cartesian
0.0000 0.0000 0.0000
3.5906 3.9523 0.0000
7.5418 7.6812 0.0000
4.5697 0.0000 0.0000
7.5418 2.9660 0.0000
3.5906 -3.9523 0.0000
11.4931 3.9523 0.0000
7.5418 -2.9660 0.0000
10.5139 0.0000 0.0000
7.5418 -7.6812 0.0000
11.4931 -3.9523 0.0000
2.1422 1.6447 1.9327
5.9709 5.3934 1.9327
2.1422 -1.6447 1.9327
9.1127 5.3934 1.9327
7.5418 0.0000 1.9327
5.9709 -5.3934 1.9327
12.9414 1.6447 1.9327
9.1127 -5.3934 1.9327
12.9414 -1.6447 1.9327
5.2456 2.2822 1.9327
5.2456 -2.2822 1.9327
9.8380 2.2822 1.9327
9.8380 -2.2822 1.9327
```